Here is a relaxed NaMnAsO6 crystal from Alexandria. Energies are from GGA+U.

## Properties
The value obtained for the raw total energy is -52.662 eV per cell.

Cell lengths 4.970, 4.970, 5.195 Å; angles 90.00, 90.00, 60.00 degrees
Element x y z (fractional)
Na (0.000, 0.000, 0.000)
O (0.628, 0.009, 0.302)
O (0.363, 0.010, 0.698)
Mn (0.667, 0.667, 0.500)
O (0.009, 0.628, 0.698)
O (0.628, 0.363, 0.698)
O (0.363, 0.628, 0.302)
O (0.009, 0.363, 0.302)
As (0.333, 0.333, 0.500)


Here is a relaxed NaMn4As3O12 crystal from Alexandria. Energies are from GGA+U.

## Properties
The value obtained for the raw total energy is -271.558 eV per cell.

Cell lengths 9.117, 9.117, 6.914 Å; angles 72.98, 72.98, 94.06 degrees
Element x y z (fractional)
O (0.023, 0.210, 0.709)
O (0.237, 0.681, 0.976)
O (0.344, 0.343, 0.612)
Na (0.497, 0.503, 0.750)
Mn (0.438, 0.129, 0.635)
O (0.097, 0.466, 0.827)
O (0.171, 0.510, 0.389)
As (0.841, 0.619, 0.365)
As (0.619, 0.841, 0.865)
O (0.210, 0.023, 0.209)
O (0.977, 0.790, 0.291)
O (0.020, 0.785, 0.725)
O (0.215, 0.980, 0.775)
Mn (0.000, 0.000, 0.000)
O (0.790, 0.977, 0.791)
O (0.466, 0.097, 0.327)
Mn (0.562, 0.871, 0.365)
Mn (0.871, 0.562, 0.865)
O (0.656, 0.657, 0.388)
O (0.657, 0.656, 0.888)
O (0.785, 0.020, 0.225)
O (0.980, 0.215, 0.275)
O (0.319, 0.763, 0.524)
Na (0.503, 0.497, 0.250)
As (0.159, 0.381, 0.635)
As (0.381, 0.159, 0.135)
O (0.829, 0.490, 0.611)
O (0.681, 0.237, 0.476)
As (0.794, 0.206, 0.250)
As (0.206, 0.794, 0.750)
O (0.903, 0.534, 0.173)
O (0.510, 0.171, 0.889)
O (0.763, 0.319, 0.024)
Mn (0.129, 0.438, 0.135)
Mn (0.232, 0.768, 0.250)
O (0.343, 0.344, 0.112)
O (0.490, 0.829, 0.111)
Mn (0.768, 0.232, 0.750)
Mn (0.000, 0.000, 0.500)
O (0.534, 0.903, 0.673)


Here is a relaxed Na4Mn3AsO8 crystal from Alexandria. Energies are from GGA+U.

## Properties
The value obtained for the raw total energy is -92.056 eV per cell.

Cell lengths 6.041, 6.380, 6.090 Å; angles 118.80, 119.73, 90.00 degrees
Element x y z (fractional)
Na (0.000, 0.000, 0.500)
O (0.752, 0.697, 0.980)
O (0.229, 0.697, 0.980)
O (0.217, 0.692, 0.434)
Mn (0.500, 0.500, 0.500)
O (0.248, 0.303, 0.020)
Mn (0.500, 0.500, 0.000)
As (0.000, 0.500, 0.000)
Mn (0.000, 0.500, 0.500)
O (0.783, 0.308, 0.566)
Na (0.500, 0.000, 0.000)
O (0.276, 0.307, 0.552)
Na (0.500, 0.000, 0.500)
O (0.724, 0.693, 0.448)
Na (0.000, 0.000, 0.000)
O (0.771, 0.303, 0.020)


Here is a relaxed NaMn2AsO4 crystal from Alexandria. Energies are from GGA+U.

## Properties
The value obtained for the raw total energy is -51.483 eV per cell.

Cell lengths 4.999, 4.999, 5.939 Å; angles 114.59, 114.59, 90.63 degrees
Element x y z (fractional)
Mn (0.250, 0.750, 0.500)
O (0.860, 0.404, 0.265)
O (0.404, 0.860, 0.265)
O (0.590, 0.590, 0.736)
Mn (0.750, 0.250, 0.500)
As (0.499, 0.499, 0.999)
O (0.146, 0.146, 0.736)
Na (0.000, 0.000, 0.001)


Here is a relaxed NaMn2AsO6 crystal from Alexandria. Energies are from GGA+U.

## Properties
The value obtained for the raw total energy is -65.749 eV per cell.

Cell lengths 5.094, 5.094, 5.750 Å; angles 63.68, 63.70, 60.01 degrees
Element x y z (fractional)
O (0.353, 0.717, 0.782)
O (0.964, 0.589, 0.215)
O (0.232, 0.963, 0.215)
Mn (0.006, 0.006, 0.983)
O (0.148, 0.353, 0.782)
Na (0.801, 0.801, 0.596)
O (0.589, 0.232, 0.215)
As (0.327, 0.327, 0.019)
O (0.717, 0.148, 0.782)
Mn (0.525, 0.525, 0.426)


Here is a relaxed Na3Mn3AsO8 crystal from Alexandria. Energies are from GGA+U.

## Properties
The value obtained for the raw total energy is -94.763 eV per cell.

Cell lengths 6.154, 6.154, 6.528 Å; angles 117.52, 91.66, 118.63 degrees
Element x y z (fractional)
Mn (0.500, 0.000, 0.500)
O (0.241, 0.014, 0.318)
O (0.740, 0.438, 0.678)
Mn (0.000, 0.500, 0.500)
Na (0.000, 0.500, 0.000)
Na (0.500, 0.500, 0.000)
O (0.209, 0.004, 0.713)
As (0.000, 0.000, 0.500)
O (0.805, 0.577, 0.318)
O (0.759, 0.986, 0.682)
O (0.260, 0.562, 0.322)
Mn (0.500, 0.500, 0.500)
O (0.791, 0.996, 0.287)
Na (0.000, 0.000, 0.000)
O (0.195, 0.423, 0.682)


| no. | size of the total moment (Bohr magnetons per cell) |
| --- | --- |
| 1 | 1.00 |
| 2 | 40.00 |
| 3 | 4.00 |
| 4 | 10.00 |
| 5 | 8.00 |
| 6 | 13.00 |